Record 1
Here is crystalline La2ScSb at its relaxed geometry from Alexandria via LeMat-Bulk. Energies are from PBE.

Cell and atoms, written as CIF:
```
data_La2ScSb
_chemical_formula_sum 'La4 Sc2 Sb2'
_symmetry_space_group_name_H-M 'A m m 2'
_symmetry_Int_Tables_number 38
_cell_length_a 4.8772
_cell_length_b 4.1964
_cell_length_c 12.3416
_cell_angle_alpha 90.00
_cell_angle_beta 90.00
_cell_angle_gamma 90.00
loop_
_symmetry_equiv_pos_as_xyz
'x,y,z'
'-x,-y,z'
'-x,y,z'
'x,-y,z'
'x,y+1/2,z+1/2'
'-x,-y+1/2,z+1/2'
'-x,y+1/2,z+1/2'
'x,-y+1/2,z+1/2'
loop_
_atom_site_label
_atom_site_type_symbol
_atom_site_fract_x
_atom_site_fract_y
_atom_site_fract_z
La1 La 0.0000 0.0000 0.0000
La2 La 0.5000 0.0000 0.2986
Sc1 Sc 0.0000 0.0000 0.7175
Sb1 Sb 0.5000 0.0000 0.5798
```

Values from the calculation:
E_form (uncorrected) = -0.575 eV/atom

***

Record 2
Here is crystalline La2ScSb at its relaxed geometry from Alexandria via LeMat-Bulk. Energies are from PBE.

Cell and atoms, written as CIF:
```
data_La2ScSb
_chemical_formula_sum 'La2 Sc1 Sb1'
_symmetry_space_group_name_H-M 'P 4/m m m'
_symmetry_Int_Tables_number 123
_symmetry_space_group_name_Hall '-P 4 2'
_cell_length_a 4.8060
_cell_length_b 4.8060
_cell_length_c 4.9231
_cell_angle_alpha 90.00
_cell_angle_beta 90.00
_cell_angle_gamma 90.00
loop_
_atom_site_label
_atom_site_type_symbol
_atom_site_fract_x
_atom_site_fract_y
_atom_site_fract_z
La1 La 0.0000 0.5000 0.0000
Sc1 Sc 0.0000 0.0000 0.5000
Sb1 Sb 0.5000 0.5000 0.5000
```

Values from the calculation:
E_form (uncorrected) = -0.534 eV/atom

***

Record 3
Here is crystalline La2ScSb at its relaxed geometry from Alexandria via LeMat-Bulk. Energies are from PBE.

Cell and atoms, written as CIF:
```
data_La2ScSb
_chemical_formula_sum 'La4 Sc2 Sb2'
_symmetry_space_group_name_H-M 'C m m m'
_symmetry_Int_Tables_number 65
_symmetry_space_group_name_Hall '-C 2 2'
_cell_length_a 6.7297
_cell_length_b 9.5601
_cell_length_c 3.6182
_cell_angle_alpha 90.00
_cell_angle_beta 90.00
_cell_angle_gamma 90.00
loop_
_atom_site_label
_atom_site_type_symbol
_atom_site_fract_x
_atom_site_fract_y
_atom_site_fract_z
La1 La 0.2500 0.2500 0.0000
Sc1 Sc 0.0000 0.0000 0.5000
Sb1 Sb 0.0000 0.5000 0.5000
```

Values from the calculation:
E_form (uncorrected) = -0.476 eV/atom

***

Record 4
Here is crystalline La2ScSb at its relaxed geometry from Alexandria via LeMat-Bulk. Energies are from PBE.

Cell and atoms, written as CIF:
```
data_La2ScSb
_chemical_formula_sum 'La4 Sc2 Sb2'
_symmetry_space_group_name_H-M 'C 1 m 1'
_symmetry_Int_Tables_number 8
_cell_length_a 11.9386
_cell_length_b 4.0866
_cell_length_c 5.3670
_cell_angle_alpha 90.00
_cell_angle_beta 113.85
_cell_angle_gamma 90.00
loop_
_symmetry_equiv_pos_as_xyz
'x,y,z'
'x,-y,z'
'x+1/2,y+1/2,z'
'x+1/2,-y+1/2,z'
loop_
_atom_site_label
_atom_site_type_symbol
_atom_site_fract_x
_atom_site_fract_y
_atom_site_fract_z
La1 La 0.0000 0.0000 0.0000
La2 La 0.2189 0.0000 0.7920
Sc1 Sc 0.4419 0.0000 0.4538
Sb1 Sb 0.2428 0.5000 0.3256
```

Values from the calculation:
E_form (uncorrected) = -0.507 eV/atom

***

Record 5
Here is crystalline LaScSb3 at its relaxed geometry from Alexandria via LeMat-Bulk. Energies are from PBE.

Cell and atoms, written as CIF:
```
data_LaScSb3
_chemical_formula_sum 'La4 Sc4 Sb12'
_symmetry_space_group_name_H-M 'P b c m'
_symmetry_Int_Tables_number 57
_cell_length_a 13.8201
_cell_length_b 6.2160
_cell_length_c 6.5903
_cell_angle_alpha 90.00
_cell_angle_beta 90.00
_cell_angle_gamma 90.00
loop_
_symmetry_equiv_pos_as_xyz
'x,y,z'
'-x,-y,-z'
'-x,-y,z+1/2'
'x,y,-z+1/2'
'x,-y+1/2,-z'
'-x,y+1/2,z'
'-x,y+1/2,-z+1/2'
'x,-y+1/2,z+1/2'
loop_
_atom_site_label
_atom_site_type_symbol
_atom_site_fract_x
_atom_site_fract_y
_atom_site_fract_z
La1 La 0.1810 0.0057 0.2500
Sc1 Sc 0.4078 0.7500 0.0000
Sb1 Sb 0.0015 0.7500 0.0000
Sb2 Sb 0.2659 0.0009 0.7500
Sb3 Sb 0.4242 0.1387 0.2500
```

Values from the calculation:
E_form (uncorrected) = -0.851 eV/atom

***

Record 6
Here is crystalline La4ScSb at its relaxed geometry from Alexandria via LeMat-Bulk. Energies are from PBE.

Cell and atoms, written as CIF:
```
data_La4ScSb
_chemical_formula_sum 'La16 Sc4 Sb4'
_symmetry_space_group_name_H-M 'F -4 3 m'
_symmetry_Int_Tables_number 216
_symmetry_space_group_name_Hall 'F -4 2 3'
_cell_length_a 9.2069
_cell_length_b 9.2069
_cell_length_c 9.2069
_cell_angle_alpha 90.00
_cell_angle_beta 90.00
_cell_angle_gamma 90.00
loop_
_atom_site_label
_atom_site_type_symbol
_atom_site_fract_x
_atom_site_fract_y
_atom_site_fract_z
La1 La 0.1236 0.1236 0.3764
Sc1 Sc 0.2500 0.2500 0.7500
Sb1 Sb 0.0000 0.0000 0.0000
```

Values from the calculation:
E_form (uncorrected) = 0.133 eV/atom